# Al2Sn3Hg2

A relaxed structure of Al2Sn3Hg2 (PBE, OQMD). Values from VASP.

The structure in Quantum ESPRESSO input format:
```
&SYSTEM
  ibrav = 0, nat = 7, ntyp = 3
/
ATOMIC_SPECIES
Al 26.98 Al.upf
Sn 118.71 Sn.upf
Hg 200.59 Hg.upf
CELL_PARAMETERS angstrom
2.423 1.399 8.702
-2.423 1.399 8.702
0.000 -2.798 8.702
ATOMIC_POSITIONS crystal
Al 0.000 0.000 0.000
Al 0.483 0.483 0.483
Sn 0.363 0.363 0.363
Sn 0.608 0.608 0.608
Sn 0.885 0.885 0.885
Hg 0.160 0.160 0.160
Hg 0.753 0.753 0.753
```

***

! NaScHg2Br6 | OQMD | PBE | optimized geometry; values from VASP
&SYSTEM
  ibrav = 0, nat = 10, ntyp = 4
/
ATOMIC_SPECIES
Na 22.99 Na.upf
Sc 44.96 Sc.upf
Hg 200.59 Hg.upf
Br 79.90 Br.upf
CELL_PARAMETERS angstrom
0.000 5.448 5.448
5.448 0.000 5.448
5.448 5.448 0.000
ATOMIC_POSITIONS crystal
Na 0.000 0.000 0.000
Sc 0.500 0.500 0.500
Hg 0.250 0.250 0.250
Hg 0.750 0.750 0.750
Br 0.260 0.260 0.740
Br 0.260 0.740 0.260
Br 0.260 0.740 0.740
Br 0.740 0.260 0.260
Br 0.740 0.260 0.740
Br 0.740 0.740 0.260
! Size of the total moment, μB/atom: 0.00

***

! Cs2ScTaSe6 | OQMD | PBE | optimized geometry; values from VASP
&SYSTEM
  ibrav = 0, nat = 10, ntyp = 4
/
ATOMIC_SPECIES
Cs 132.91 Cs.upf
Sc 44.96 Sc.upf
Ta 180.95 Ta.upf
Se 78.96 Se.upf
CELL_PARAMETERS angstrom
0.000 5.247 5.247
5.247 0.000 5.247
5.247 5.247 0.000
ATOMIC_POSITIONS crystal
Cs 0.250 0.250 0.250
Cs 0.750 0.750 0.750
Sc 0.000 0.000 0.000
Ta 0.500 0.500 0.500
Se 0.255 0.255 0.745
Se 0.255 0.745 0.255
Se 0.255 0.745 0.745
Se 0.745 0.255 0.255
Se 0.745 0.255 0.745
Se 0.745 0.745 0.255
! Size of the total moment, μB/atom: 0.00

***

Number 1: DFT total energy -2.714 eV per atom. Number 2: DFT total energy -2.685 eV per atom. Number 3: DFT total energy -5.046 eV per atom.